# 1
Computed, not measured: a relaxed In2Co2Bi crystal at the GGA-PBE level of DFT.

Lattice parameters (Å, degrees): 4.032 4.032 11.914 90.00 90.00 90.00
Fractional coordinates of all 10 atoms:
1 In 0.000 0.500 0.250
2 In 0.000 0.500 0.750
3 In 0.500 0.000 0.250
4 In 0.500 0.000 0.750
5 Co 0.000 0.000 0.098
6 Co 0.000 0.000 0.902
7 Co 0.500 0.500 0.402
8 Co 0.500 0.500 0.598
9 Bi 0.000 0.000 0.500
10 Bi 0.500 0.500 0.000

Computed properties:
DFT formation energy ... 8.7 kcal/mol of atoms



# 2
Computed, not measured: a relaxed InCo2Bi2 crystal at the GGA-PBE level of DFT.

Lattice parameters (Å, degrees): 3.425 3.425 19.917 90.00 90.00 90.00
Fractional coordinates of all 10 atoms:
1 In 0.000 0.000 0.000
2 In 0.500 0.500 0.500
3 Co 0.000 0.500 0.250
4 Co 0.000 0.500 0.750
5 Co 0.500 0.000 0.250
6 Co 0.500 0.000 0.750
7 Bi 0.000 0.000 0.361
8 Bi 0.000 0.000 0.639
9 Bi 0.500 0.500 0.139
10 Bi 0.500 0.500 0.861

Computed properties:
DFT formation energy ... 5.7 kcal/mol of atoms



# 3
Computed, not measured: a relaxed InCo2Bi2 crystal at the GGA-PBE level of DFT.

Lattice parameters (Å, degrees): 7.121 7.121 4.011 90.00 90.00 90.00
Fractional coordinates of all 10 atoms:
1 In 0.000 0.000 0.000
2 In 0.500 0.500 0.000
3 Co 0.125 0.375 0.000
4 Co 0.375 0.875 0.000
5 Co 0.625 0.125 0.000
6 Co 0.875 0.625 0.000
7 Bi 0.166 0.666 0.500
8 Bi 0.334 0.166 0.500
9 Bi 0.666 0.834 0.500
10 Bi 0.834 0.334 0.500

Computed properties:
DFT formation energy ... 8.0 kcal/mol of atoms



# 4
Computed, not measured: a relaxed In2Co2Bi crystal at the GGA-PBE level of DFT.

Lattice parameters (Å, degrees): 4.623 4.623 9.871 90.00 90.00 90.00
Fractional coordinates of all 10 atoms:
1 In 0.000 0.000 0.146
2 In 0.000 0.000 0.854
3 In 0.500 0.500 0.354
4 In 0.500 0.500 0.646
5 Co 0.000 0.500 0.250
6 Co 0.000 0.500 0.750
7 Co 0.500 0.000 0.250
8 Co 0.500 0.000 0.750
9 Bi 0.000 0.000 0.500
10 Bi 0.500 0.500 0.000

Computed properties:
DFT formation energy ... 11.7 kcal/mol of atoms



# 5
Computed, not measured: a relaxed InCoBi2 crystal at the GGA-PBE level of DFT.

Lattice parameters (Å, degrees): 6.439 6.439 12.416 90.00 90.00 90.00
Fractional coordinates of all 16 atoms:
1 In 0.000 0.000 0.000
2 In 0.000 0.500 0.250
3 In 0.500 0.000 0.750
4 In 0.500 0.500 0.500
5 Co 0.000 0.000 0.500
6 Co 0.000 0.500 0.750
7 Co 0.500 0.000 0.250
8 Co 0.500 0.500 0.000
9 Bi 0.176 0.250 0.625
10 Bi 0.250 0.676 0.875
11 Bi 0.250 0.824 0.375
12 Bi 0.324 0.250 0.125
13 Bi 0.676 0.750 0.125
14 Bi 0.750 0.176 0.375
15 Bi 0.750 0.324 0.875
16 Bi 0.824 0.750 0.625

Computed properties:
DFT formation energy ... 8.7 kcal/mol of atoms



# 6
Computed, not measured: a relaxed In3CoBi crystal at the GGA-PBE level of DFT.

Lattice parameters (Å, degrees): 5.019 5.019 5.019 90.00 90.00 90.00
Fractional coordinates of all 5 atoms:
1 In 0.000 0.000 0.500
2 In 0.000 0.500 0.000
3 In 0.500 0.000 0.000
4 Co 0.000 0.000 0.000
5 Bi 0.500 0.500 0.500

Computed properties:
DFT formation energy ... 4.0 kcal/mol of atoms